1.
{
  "formula": "LiLa2Ir",
  "functional": "PBE",
  "state": "optimized geometry",
  "lattice": [[3.5878, -3.5874, 0.0000], [3.5878, 3.5874, 0.0000], [-0.0093, 0.0000, 3.7994]],
  "species": ["Li", "La", "La", "Ir"],
  "frac_coords": [[0.0000, 0.0000, 0.0000], [0.0000, 0.5000, 0.5000], [0.5000, 0.0000, 0.5000], [0.5000, 0.5000, 0.0000]]
}

2.
{
  "formula": "LiLaIr",
  "functional": "PBE",
  "state": "optimized geometry",
  "polymorph_energy_ev_per_atom": 0.0000,
  "lattice": [[7.2515, 0.0000, 0.0000], [-3.6257, 6.2799, 0.0000], [0.0000, 0.0000, 4.1494]],
  "species": ["Li", "Li", "Li", "La", "La", "La", "Ir", "Ir", "Ir"],
  "frac_coords": [[0.0000, 0.2319, 0.0000], [0.2319, 0.0000, 0.0000], [0.7681, 0.7681, 0.0000], [0.0000, 0.5938, 0.5000], [0.4062, 0.4062, 0.5000], [0.5938, 0.0000, 0.5000], [0.0000, 0.0000, 0.5000], [0.3333, 0.6667, 0.0000], [0.6667, 0.3333, 0.0000]]
}

3.
{
  "formula": "LiLa3Ir8",
  "functional": "PBE",
  "state": "optimized geometry",
  "lattice": [[2.7105, 1.5649, 8.8296], [-2.7105, 1.5649, 8.8296], [0.0000, -3.1298, 8.8296]],
  "species": ["Li", "La", "La", "La", "Ir", "Ir", "Ir", "Ir", "Ir", "Ir", "Ir", "Ir"],
  "frac_coords": [[0.0000, 0.0000, 0.0000], [0.3667, 0.3667, 0.3667], [0.4954, 0.4954, 0.4954], [0.8774, 0.8774, 0.8774], [0.1835, 0.1835, 0.1835], [0.4292, 0.9336, 0.9336], [0.4347, 0.4347, 0.9348], [0.4347, 0.9348, 0.4347], [0.6833, 0.6833, 0.6833], [0.9336, 0.4292, 0.9336], [0.9336, 0.9336, 0.4292], [0.9348, 0.4347, 0.4347]]
}

4.
{
  "formula": "LiLa2Ir",
  "functional": "PBE",
  "state": "optimized geometry",
  "lattice": [[0.0000, 3.5196, 3.5196], [3.5196, 0.0000, 3.5196], [3.5196, 3.5196, 0.0000]],
  "species": ["Li", "La", "La", "Ir"],
  "frac_coords": [[0.0000, 0.0000, 0.0000], [0.2500, 0.2500, 0.2500], [0.5000, 0.5000, 0.5000], [0.7500, 0.7500, 0.7500]]
}

| no. | Fermi-level density of states (states/eV/cell) | uncorrected energy (eV/atom) |
| --- | --- | --- |
| 1 | 4.1 | -5.48 |
| 2 | 5.5 | -5.70 |
| 3 | 14.1 | -7.86 |
| 4 | 3.5 | -5.37 |